*P*
A geometry-optimized Zn2FeCl structure. Source: the Alexandria database, functional PBE-GGA.

abc: 6.367 6.367 6.367
angles: 97.37 97.37 138.01
Element x y z (fractional)
Zn1 0.045 0.625 0.920
Zn2 0.375 0.295 0.420
Zn3 0.705 0.125 0.080
Zn4 0.875 0.955 0.580
Fe1 0.000 0.000 0.000
Fe2 0.750 0.250 0.500
Cl1 0.250 0.750 0.500
Cl2 0.500 0.500 0.000

**Space group**: I-42d

***

*Q*
A geometry-optimized Zn2FeCl structure. Source: the Alexandria database, functional PBE-GGA.

abc: 5.695 5.695 5.695
angles: 143.17 143.17 53.07
Element x y z (fractional)
Zn1 0.250 0.750 0.500
Zn2 0.750 0.250 0.500
Fe1 0.000 0.000 0.000
Cl1 0.500 0.500 0.000

**Space group**: I4/mmm

***

What should be chosen as the most stable of them? Choose *P*.

***

*P*
A geometry-optimized LiLaBe2 structure. Source: the Alexandria database, functional PBE-GGA.

abc: 9.041 9.041 9.041
angles: 152.51 152.51 39.27
Element x y z (fractional)
Li1 0.375 0.625 0.750
Li2 0.625 0.375 0.250
La1 0.125 0.875 0.250
La2 0.875 0.125 0.750
Be1 0.000 0.500 0.500
Be2 0.500 0.000 0.000
Be3 0.500 0.500 0.000
Be4 0.500 0.500 0.500

**Space group**: I4_1/amd

***

*Q*
A geometry-optimized LiLaBe2 structure. Source: the Alexandria database, functional PBE-GGA.

abc: 4.716 4.716 4.716
angles: 121.62 114.71 93.31
Element x y z (fractional)
Li1 0.000 0.000 0.000
La1 0.500 0.500 0.000
Be1 0.194 0.694 0.500
Be2 0.806 0.306 0.500

**Space group**: Immm

***

What should be chosen as the most stable of them? Choose *Q*.

***

*P*
A geometry-optimized KLaP2 structure. Source: the Alexandria database, functional PBE-GGA.

abc: 6.050 6.050 6.050
angles: 138.01 138.01 60.88
Element x y z (fractional)
K1 0.000 0.000 0.000
La1 0.250 0.750 0.500
P1 0.500 0.500 0.000
P2 0.750 0.250 0.500

**Space group**: I-4m2

***

*Q*
A geometry-optimized KLaP2 structure. Source: the Alexandria database, functional PBE-GGA.

abc: 5.202 5.202 5.202
angles: 60.00 60.00 60.00
Element x y z (fractional)
K1 0.000 0.000 0.000
La1 0.500 0.500 0.500
P1 0.250 0.250 0.250
P2 0.750 0.750 0.750

**Space group**: Fm-3m

***

What should be chosen as the most stable of them? Choose *Q*.